Arrangement 1

The following is a GGA-PBE calculation of BaLaHg4 after structural relaxation, from Alexandria via LeMat-Bulk.

Cell: 6.253 6.253 6.253 Å, 60.00 60.00 60.00°
Sites, in units of the cell vectors:
Ba 0.000 0.000 0.000
La 0.250 0.250 0.250
Hg 0.127 0.624 0.624
Hg 0.624 0.127 0.624
Hg 0.624 0.624 0.127
Hg 0.624 0.624 0.624

***

Arrangement 2

The following is a GGA-PBE calculation of BaLaHg4 after structural relaxation, from Alexandria via LeMat-Bulk.

Cell: 3.715 5.214 9.044 Å, 90.00 90.00 90.00°
Sites, in units of the cell vectors:
Ba 0.000 0.000 0.000
La 0.000 0.500 0.500
Hg 0.500 0.000 0.339
Hg 0.500 0.000 0.661
Hg 0.500 0.500 0.175
Hg 0.500 0.500 0.825

***

Which one is the least stable? From the structures above, arrangement 1.